# 1
Hf3AgBi5: relaxed, PBE.

As for the theoretical density: 10.3 g/cm³. The size of the total moment is 0.0 Bohr magnetons per cell. The final energy is -5.79 eV per atom.

a = 5.9541 Å, b = 5.9541 Å, c = 8.8860 Å
α = 90.00°, β = 90.00°, γ = 120.00°
Last column: nearest neighbours and their distance in Å.
Space group P6/mmm (No. 191)
Asymmetric unit:
1 Hf 0.0000 0.5000 0.0000 (multiplicity 3)  4 Hf 2.98, 6 Bi 2.98-3.16
2 Ag 0.0000 0.0000 0.5000 (multiplicity 1)  12 Bi 3.88
3 Bi 0.0000 0.0000 0.0000 (multiplicity 1)  6 Hf 2.98
4 Bi 0.3333 0.6667 0.2979 (multiplicity 4)  3 Hf 3.16, 3 Bi 3.44


# 2
HfAg2Bi2: relaxed, PBE.

As for the theoretical density: 10.5 g/cm³. The size of the total moment is 0.1 Bohr magnetons per cell. The final energy is -4.20 eV per atom.

a = 4.5234 Å, b = 4.5234 Å, c = 12.5657 Å
α = 90.00°, β = 90.00°, γ = 90.00°
Last column: nearest neighbours and their distance in Å.
Space group I4/mmm (No. 139)
Asymmetric unit:
1 Hf 0.0000 0.0000 0.0000 (multiplicity 2)  8 Ag 3.44
2 Ag 0.0000 0.0000 0.3993 (multiplicity 4)  1 Ag 2.53
3 Bi 0.0000 0.5000 0.2500 (multiplicity 4)  4 Ag 2.94, 4 Bi 3.20


# 3
AgHgBi2: relaxed, PBE.

As for the theoretical density: 11.2 g/cm³. The final energy is -2.63 eV per atom.

a = 7.5452 Å, b = 7.5452 Å, c = 7.5452 Å
α = 90.00°, β = 90.00°, γ = 90.00°
Last column: nearest neighbours and their distance in Å.
Space group F-43m (No. 216)
Asymmetric unit:
1 Ag 0.0000 0.0000 0.0000 (multiplicity 4)  4 Hg 3.27, 4 Bi 3.27
2 Hg 0.2500 0.2500 0.7500 (multiplicity 4)  4 Bi 3.27, 4 Ag 3.27
3 Bi 0.0000 0.0000 0.5000 (multiplicity 4)  4 Hg 3.27, 4 Bi 3.27
4 Bi 0.2500 0.2500 0.2500 (multiplicity 4)  4 Bi 3.27, 4 Ag 3.27


# 4
TbHoAg2Bi4: relaxed, PBE.

As for the theoretical density: 10.9 g/cm³. The size of the total moment is 0.0 Bohr magnetons per cell. The final energy is -4.33 eV per atom.

a = 4.5258 Å, b = 4.5258 Å, c = 10.2713 Å
α = 90.00°, β = 90.00°, γ = 90.00°
Last column: nearest neighbours and their distance in Å.
Space group P4mm (No. 99)
Asymmetric unit:
1 Tb 0.0000 0.0000 0.0000 (multiplicity 1)  8 Bi 3.26-3.41, 4 Ag 3.44
2 Ho 0.5000 0.5000 0.4962 (multiplicity 1)  8 Bi 3.26-3.40, 4 Ag 3.43
3 Ag 0.0000 0.5000 0.7474 (multiplicity 2)  4 Bi 2.99, 4 Ag 3.20
4 Bi 0.0000 0.0000 0.5570 (multiplicity 1)  4 Ag 2.99, 4 Ho 3.26
5 Bi 0.0000 0.5000 0.2489 (multiplicity 2)  4 Bi 3.20, 2 Ho 3.40, 2 Tb 3.41
6 Bi 0.5000 0.5000 0.9382 (multiplicity 1)  4 Ag 2.99, 4 Tb 3.26


# 5
YHoAg2Bi4: relaxed, PBE.

As for the theoretical density: 10.3 g/cm³. The size of the total moment is 0.0 Bohr magnetons per cell. The final energy is -4.56 eV per atom.

a = 4.5230 Å, b = 4.5230 Å, c = 10.2629 Å
α = 90.00°, β = 90.00°, γ = 90.00°
Last column: nearest neighbours and their distance in Å.
Space group P4mm (No. 99)
Asymmetric unit:
1 Y 0.0000 0.0000 0.0000 (multiplicity 1)  8 Bi 3.26-3.41, 4 Ag 3.44
2 Ho 0.5000 0.5000 0.4963 (multiplicity 1)  8 Bi 3.26-3.40, 4 Ag 3.43
3 Ag 0.0000 0.5000 0.7472 (multiplicity 2)  4 Bi 2.99, 4 Ag 3.20
4 Bi 0.0000 0.0000 0.5565 (multiplicity 1)  4 Ag 2.99, 4 Ho 3.26
5 Bi 0.0000 0.5000 0.2489 (multiplicity 2)  4 Bi 3.20, 2 Ho 3.40, 2 Y 3.41
6 Bi 0.5000 0.5000 0.9383 (multiplicity 1)  4 Ag 2.99, 4 Y 3.26


# 6
AgBiI6: relaxed, PBE.

As for the theoretical density: 5.7 g/cm³. The final energy is -1.81 eV per atom.

a = 10.8012 Å, b = 10.8012 Å, c = 10.8012 Å
α = 90.00°, β = 90.00°, γ = 90.00°
Last column: nearest neighbours and their distance in Å.
Space group F-43m (No. 216)
Asymmetric unit:
1 Ag 0.0000 0.0000 0.0000 (multiplicity 4)  6 I 2.78
2 Bi 0.2500 0.2500 0.7500 (multiplicity 4)  12 I 3.82
3 I 0.0000 0.0000 0.2570 (multiplicity 24)  1 Ag 2.78


# 7
AgBiSI2: relaxed, PBE.

As for the theoretical density: 6.5 g/cm³. The final energy is -3.09 eV per atom.

a = 4.2321 Å, b = 14.8558 Å, c = 9.8306 Å
α = 90.00°, β = 90.00°, γ = 90.00°
Last column: nearest neighbours and their distance in Å.
Space group Cmcm (No. 63)
Asymmetric unit:
1 Ag 0.0000 0.0000 0.0000 (multiplicity 4)  2 S 2.71
2 Bi 0.0000 0.3085 0.2500 (multiplicity 4)  2 S 2.71
3 S 0.0000 0.0775 0.7500 (multiplicity 4)  2 Bi 2.71, 2 Ag 2.71
4 I 0.0000 0.3555 0.5641 (multiplicity 8)  2 Ag 3.08, 1 Bi 3.17


# 8
AgBi2S3I: relaxed, PBE.

As for the theoretical density: 6.8 g/cm³. The final energy is -3.81 eV per atom.

a = 7.9524 Å, b = 4.0661 Å, c = 11.4421 Å
α = 90.00°, β = 99.91°, γ = 90.00°
Last column: nearest neighbours and their distance in Å.
Space group P2_1/m (No. 11)
Asymmetric unit:
1 Ag 0.0621 0.2500 0.4052 (multiplicity 2)  6 S 2.82-3.00
2 Bi 0.1748 0.2500 0.9157 (multiplicity 2)  4 S 2.68-2.98
3 Bi 0.4385 0.7500 0.6406 (multiplicity 2)  5 S 2.61-2.92
4 S 0.0430 0.2500 0.1411 (multiplicity 2)  3 Bi 2.68-2.95
5 S 0.1830 0.2500 0.6562 (multiplicity 2)  3 Ag 2.82-2.87, 3 Bi 2.90-2.98
6 S 0.3227 0.7500 0.4126 (multiplicity 2)  3 Bi 2.61-2.92, 2 Ag 2.89
7 I 0.4058 0.7500 0.1173 (multiplicity 2)  5 Bi 3.37-3.49, 3 S 3.55-3.58


> Which formula does entry 8 have?

AgBi2S3I


> The highest theoretical density belongs to which entry?

AgHgBi2